1.
KSc2Ti | PBE-GGA | relaxed

Cell: 8.2255 8.2255 6.6687 Å, 51.92 51.92 90.00°
Last column: nearest neighbours and their distance in Å.
Sites, in units of the cell vectors:
Sc (0.6454, 0.1250, 0.2500)  2 Ti 2.91, 2 K 3.14
Sc (0.3750, 0.3546, 0.7500)  2 Ti 2.91, 2 K 3.14
K (0.2500, 0.7500, 0.5000)  4 Sc 3.14, 2 Ti 3.26
K (0.5000, 0.5000, 0.0000)  4 Sc 3.14, 2 Ti 3.26
Sc (0.8750, 0.8954, 0.7500)  2 Ti 2.91, 2 K 3.14
Sc (0.1046, 0.6250, 0.2500)  2 Ti 2.91, 2 K 3.14
Ti (0.7500, 0.2500, 0.5000)  4 Sc 2.91
Ti (0.0000, 0.0000, 0.0000)  4 Sc 2.91

Calculated volume in Å³ per atom: 27.6
Space-group type: No. 122

---

2.
K2ScTi | PBE-GGA | relaxed

Cell: 10.0577 10.0577 7.7591 Å, 49.60 49.60 90.00°
Last column: nearest neighbours and their distance in Å.
Sites, in units of the cell vectors:
K (0.1072, 0.6250, 0.2500)  2 K 3.12
K (0.8750, 0.8928, 0.7500)  2 K 3.12
Sc (0.5000, 0.5000, 0.0000)  2 Ti 3.10
Ti (0.0000, 0.0000, 0.0000)  2 Sc 3.10
Ti (0.7500, 0.2500, 0.5000)  2 Sc 3.10
K (0.6428, 0.1250, 0.2500)  2 K 3.12
Sc (0.2500, 0.7500, 0.5000)  2 Ti 3.10
K (0.3750, 0.3572, 0.7500)  2 K 3.12

Calculated volume in Å³ per atom: 39.2
Space-group type: No. 122

---

3.
K2ScTi | PBE-GGA | relaxed

Cell: 5.9861 5.9861 5.9861 Å, 60.00 60.00 60.00°
Last column: nearest neighbours and their distance in Å.
Sites, in units of the cell vectors:
Sc (0.0000, 0.0000, 0.0000)  8 K 3.67
K (0.7500, 0.7500, 0.7500)  4 Sc 3.67, 4 Ti 3.67
Ti (0.5000, 0.5000, 0.5000)  8 K 3.67
K (0.2500, 0.2500, 0.2500)  4 Ti 3.67, 4 Sc 3.67

Calculated volume in Å³ per atom: 37.9
Space-group type: No. 225

---

4.
KSc2Ti | PBE-GGA | relaxed

Cell: 5.3240 5.3240 5.3240 Å, 60.00 60.00 60.00°
Last column: nearest neighbours and their distance in Å.
Sites, in units of the cell vectors:
Sc (0.2500, 0.2500, 0.2500)  4 Ti 3.26, 4 K 3.26
K (0.0000, 0.0000, 0.0000)  8 Sc 3.26
Sc (0.7500, 0.7500, 0.7500)  4 K 3.26, 4 Ti 3.26
Ti (0.5000, 0.5000, 0.5000)  8 Sc 3.26

Calculated volume in Å³ per atom: 26.7
Space-group type: No. 225

---

5.
KScTl | PBE-GGA | relaxed

Cell: 5.5423 5.5423 3.1578 Å, 90.00 90.00 120.00°
Last column: nearest neighbours and their distance in Å.
Sites, in units of the cell vectors:
Sc (0.6667, 0.3333, 0.1660)  2 Sc 3.16, 3 K 3.20
Tl (0.3333, 0.6667, 0.6664)  2 Tl 3.16
K (0.0000, 0.0000, 0.1676)  2 K 3.16, 3 Sc 3.20

Calculated volume in Å³ per atom: 28.0
Space-group type: No. 156

---

6.
KScTl2 | PBE-GGA | relaxed

Cell: 3.4819 3.4819 11.1885 Å, 90.00 90.00 111.58°
Last column: nearest neighbours and their distance in Å.
Sites, in units of the cell vectors:
Tl (0.5000, 0.5000, 0.2232)  6 Tl 3.20-3.48, 2 K 3.57
Tl (0.0000, 0.0000, 0.9971)  2 Sc 3.03, 2 Tl 3.20
K (0.0000, 0.0000, 0.4895)  4 K 3.48, 2 Tl 3.57, 2 Sc 3.89
Sc (0.5000, 0.5000, 0.7902)  2 Tl 3.03

Calculated volume in Å³ per atom: 31.5
Space-group type: No. 35

---

7.
K2ScTl | PBE-GGA | relaxed

Cell: 3.5393 3.5393 13.0342 Å, 90.00 90.00 113.43°
Last column: nearest neighbours and their distance in Å.
Sites, in units of the cell vectors:
K (0.0000, 0.0000, 0.9904)  6 K 3.54-3.88, 2 Tl 3.69, 2 Sc 3.90
Sc (0.5000, 0.5000, 0.2500)  6 Sc 3.54-3.88, 4 K 3.90
K (0.0000, 0.0000, 0.5096)  6 K 3.54-3.88, 2 Tl 3.69, 2 Sc 3.90
Tl (0.5000, 0.5000, 0.7500)  6 Tl 3.54-3.88, 4 K 3.69

Calculated volume in Å³ per atom: 37.5
Space-group type: No. 65

---

8.
KSc2Tl2 | PBE-GGA | relaxed

Cell: 4.7114 4.7114 7.7340 Å, 72.27 72.27 90.00°
Last column: nearest neighbours and their distance in Å.
Sites, in units of the cell vectors:
Sc (0.7500, 0.2500, 0.5000)  4 Tl 3.07, 4 Sc 3.33
Sc (0.2500, 0.7500, 0.5000)  4 Tl 3.07, 4 Sc 3.33
K (0.0000, 0.0000, 0.0000)  8 Tl 3.66
Tl (0.6090, 0.6090, 0.7819)  1 Tl 3.04, 4 Sc 3.07
Tl (0.3910, 0.3910, 0.2181)  1 Tl 3.04, 4 Sc 3.07

Calculated volume in Å³ per atom: 31.0
Space-group type: No. 139

---

9.
K4ScTl2 | PBE-GGA | relaxed

Cell: 6.8786 6.8786 9.9869 Å, 69.86 69.86 90.00°
Last column: nearest neighbours and their distance in Å.
Sites, in units of the cell vectors:
K (0.7887, 0.7887, 0.4227)  1 Tl 3.52, 1 Sc 3.69
K (0.0000, 0.5000, 0.0000)  2 Sc 3.44, 4 Tl 3.76
Sc (0.0000, 0.0000, 0.0000)  6 K 3.44-3.69
Tl (0.5867, 0.5867, 0.8265)  1 Tl 3.03
Tl (0.4133, 0.4133, 0.1735)  1 Tl 3.03
K (0.2113, 0.2113, 0.5773)  1 Tl 3.52, 1 Sc 3.69
K (0.5000, 0.0000, 0.0000)  2 Sc 3.44, 4 Tl 3.76

Calculated volume in Å³ per atom: 59.0
Space-group type: No. 139

---

10.
K2ScTl | PBE-GGA | relaxed

Cell: 5.9946 5.9946 5.9946 Å, 60.00 60.00 60.00°
Last column: nearest neighbours and their distance in Å.
Sites, in units of the cell vectors:
K (0.7500, 0.7500, 0.7500)  4 Tl 3.67, 4 Sc 3.67
Sc (0.0000, 0.0000, 0.0000)  8 K 3.67
K (0.2500, 0.2500, 0.2500)  4 Tl 3.67, 4 Sc 3.67
Tl (0.5000, 0.5000, 0.5000)  8 K 3.67

Calculated volume in Å³ per atom: 38.1
Space-group type: No. 225

---

11.
KSc2Tl2 | PBE-GGA | relaxed

Cell: 9.1112 9.1112 3.2623 Å, 90.00 90.00 90.00°
Last column: nearest neighbours and their distance in Å.
Sites, in units of the cell vectors:
K (0.5000, 0.5000, 0.0000)  2 K 3.26, 4 Sc 3.62
Sc (0.6212, 0.1212, 0.0000)  6 Tl 3.09-3.19, 3 Sc 3.12-3.26
Tl (0.8247, 0.3247, 0.5000)  6 Sc 3.09-3.19, 2 Tl 3.26
Tl (0.6753, 0.8247, 0.5000)  6 Sc 3.09-3.19, 2 Tl 3.26
Sc (0.8788, 0.6212, 0.0000)  6 Tl 3.09-3.19, 3 Sc 3.12-3.26
Tl (0.3247, 0.1753, 0.5000)  6 Sc 3.09-3.19, 2 Tl 3.26
K (0.0000, 0.0000, 0.0000)  2 K 3.26, 4 Sc 3.62
Sc (0.1212, 0.3788, 0.0000)  6 Tl 3.09-3.19, 3 Sc 3.12-3.26
Sc (0.3788, 0.8788, 0.0000)  6 Tl 3.09-3.19, 3 Sc 3.12-3.26
Tl (0.1753, 0.6753, 0.5000)  6 Sc 3.09-3.19, 2 Tl 3.26

Calculated volume in Å³ per atom: 27.1
Space-group type: No. 127

---

12.
K2ScTl | PBE-GGA | relaxed

Cell: 4.2349 5.0736 6.3265 Å, 90.00 90.00 90.00°
Last column: nearest neighbours and their distance in Å.
Sites, in units of the cell vectors:
K (0.0000, 0.0000, 0.0000)  4 K 3.30
Sc (0.5000, 0.0000, 0.5000)  4 Tl 3.30
K (0.5000, 0.5000, 0.0000)  4 K 3.30
Tl (0.0000, 0.5000, 0.5000)  4 Sc 3.30

Calculated volume in Å³ per atom: 34.0
Space-group type: No. 47

---

| no. | energy of formation from the pure elements (eV/atom) |
| --- | --- |
| 1 | 1.0420 |
| 2 | 1.2284 |
| 3 | 1.2841 |
| 4 | 0.8455 |
| 5 | 0.3051 |
| 6 | 0.1610 |
| 7 | 0.3879 |
| 8 | 0.1043 |
| 9 | 0.5181 |
| 10 | 0.5468 |
| 11 | -0.1073 |
| 12 | 0.3122 |